Entry 1:
# AlAg2As, relaxed, DFT PBE
data_AlAg2As
_chemical_formula_sum 'Al2 Ag4 As2'
_symmetry_space_group_name_H-M 'C 1 2/m 1'
_symmetry_Int_Tables_number 12
_cell_length_a 5.742
_cell_length_b 8.446
_cell_length_c 2.969
_cell_angle_alpha 90.00
_cell_angle_beta 91.70
_cell_angle_gamma 90.00
loop_
_symmetry_equiv_pos_as_xyz
'x,y,z'
'-x,-y,-z'
'-x,y,-z'
'x,-y,z'
'x+1/2,y+1/2,z'
'-x+1/2,-y+1/2,-z'
'-x+1/2,y+1/2,-z'
'x+1/2,-y+1/2,z'
loop_
_atom_site_label
_atom_site_fract_x
_atom_site_fract_y
_atom_site_fract_z
_atom_site_occupancy
Al1 0.000 0.000 0.000 1
Ag1 0.250 0.250 0.500 1
As1 0.000 0.500 0.000 1
# **Energy above the lowest structure with this stoichiometry**: 50 meV/atom
# **Crystal system**: monoclinic
# **Formation energy from the elements**: 0.104 eV per atom
# **Raw total energy**: -3.4195 eV per atom


Entry 2:
# AlAg2As, relaxed, DFT PBE
data_AlAg2As
_chemical_formula_sum 'Al2 Ag4 As2'
_symmetry_space_group_name_H-M 'I m m 2'
_symmetry_Int_Tables_number 44
_cell_length_a 2.870
_cell_length_b 4.438
_cell_length_c 12.044
_cell_angle_alpha 90.00
_cell_angle_beta 90.00
_cell_angle_gamma 90.00
loop_
_symmetry_equiv_pos_as_xyz
'x,y,z'
'-x,-y,z'
'-x,y,z'
'x,-y,z'
'x+1/2,y+1/2,z+1/2'
'-x+1/2,-y+1/2,z+1/2'
'-x+1/2,y+1/2,z+1/2'
'x+1/2,-y+1/2,z+1/2'
loop_
_atom_site_label
_atom_site_fract_x
_atom_site_fract_y
_atom_site_fract_z
_atom_site_occupancy
Al1 0.000 0.000 0.000 1
Ag1 0.000 0.000 0.453 1
Ag2 0.000 0.500 0.286 1
As1 0.000 0.500 0.688 1
# **Energy above the lowest structure with this stoichiometry**: 21 meV/atom
# **Crystal system**: orthorhombic
# **Formation energy from the elements**: 0.075 eV per atom
# **Raw total energy**: -3.4485 eV per atom